(1)
Er4HgIrAu2: relaxed, GGA-PBE.

a = 8.7078 Å, b = 8.7078 Å, c = 8.7078 Å
α = 33.57°, β = 33.57°, γ = 33.57°
Sites, in units of the cell vectors:
1 Er 0.1166 0.1166 0.1166
2 Er 0.3684 0.3684 0.3684
3 Er 0.6316 0.6316 0.6316
4 Er 0.8834 0.8834 0.8834
5 Hg 0.5000 0.5000 0.5000
6 Ir 0.0000 0.0000 0.0000
7 Au 0.2421 0.2421 0.2421
8 Au 0.7579 0.7579 0.7579

Output
Magnetic moment in μB per atom: 0.00
Electronic total energy in eV per atom: -5.046
Energy of formation in meV per atom: -799.7

(2)
Li2ErHgAu2: relaxed, GGA-PBE.

a = 4.5861 Å, b = 4.5861 Å, c = 6.3491 Å
α = 90.00°, β = 90.00°, γ = 120.00°
Sites, in units of the cell vectors:
1 Li 0.3333 0.6667 0.1590
2 Li 0.6667 0.3333 0.8410
3 Er 0.0000 0.0000 0.5000
4 Hg 0.0000 0.0000 0.0000
5 Au 0.3333 0.6667 0.7210
6 Au 0.6667 0.3333 0.2790

Output
Magnetic moment in μB per atom: 0.00
Electronic total energy in eV per atom: -3.113
Energy of formation in meV per atom: -572.2

(3)
LiEr2HgAu4: relaxed, GGA-PBE.

a = 8.3967 Å, b = 8.3967 Å, c = 8.3967 Å
α = 33.85°, β = 33.85°, γ = 33.85°
Sites, in units of the cell vectors:
1 Li 0.0000 0.0000 0.0000
2 Er 0.2461 0.2461 0.2461
3 Er 0.7539 0.7539 0.7539
4 Hg 0.5000 0.5000 0.5000
5 Au 0.1166 0.1166 0.1166
6 Au 0.3688 0.3688 0.3688
7 Au 0.6312 0.6312 0.6312
8 Au 0.8834 0.8834 0.8834

Output
Magnetic moment in μB per atom: 0.00
Electronic total energy in eV per atom: -3.732
Energy of formation in meV per atom: -675.2

(4)
ErLuHgAu: relaxed, GGA-PBE.

a = 5.1037 Å, b = 5.1037 Å, c = 5.1037 Å
α = 60.00°, β = 60.00°, γ = 60.00°
Sites, in units of the cell vectors:
1 Er 0.0000 0.0000 0.0000
2 Lu 0.5000 0.5000 0.5000
3 Hg 0.7500 0.7500 0.7500
4 Au 0.2500 0.2500 0.2500

Output
Magnetic moment in μB per atom: 0.00
Electronic total energy in eV per atom: -3.840
Energy of formation in meV per atom: -674.4

(5)
ErMgHgAu: relaxed, GGA-PBE.

a = 4.9542 Å, b = 4.9542 Å, c = 4.9542 Å
α = 60.00°, β = 60.00°, γ = 60.00°
Sites, in units of the cell vectors:
1 Er 0.0000 0.0000 0.0000
2 Mg 0.5000 0.5000 0.5000
3 Hg 0.7500 0.7500 0.7500
4 Au 0.2500 0.2500 0.2500

Output
Magnetic moment in μB per atom: 0.00
Electronic total energy in eV per atom: -3.051
Energy of formation in meV per atom: -617.1

(6)
ErMnHgAu: relaxed, GGA-PBE.

a = 4.8969 Å, b = 4.8969 Å, c = 4.8969 Å
α = 60.00°, β = 60.00°, γ = 60.00°
Sites, in units of the cell vectors:
1 Er 0.0000 0.0000 0.0000
2 Mn 0.5000 0.5000 0.5000
3 Hg 0.7500 0.7500 0.7500
4 Au 0.2500 0.2500 0.2500

Output
Magnetic moment in μB per atom: 1.10
Electronic total energy in eV per atom: -4.613
Energy of formation in meV per atom: -284.6